Ba3Mg2Ag2Au4 | PBE | optimized geometry

Summary:
The calculation puts the mass density at 7.474 g/cm3. The value obtained for the formation enthalpy at 0 K is -520 meV/atom. Its crystal system is trigonal.

a b c (Å): 4.820 4.820 16.170
angles (deg): 90.00 90.00 120.00
Sites, in units of the cell vectors:
Ba: 0.000 0.000 0.271
Mg: 0.667 0.333 0.438
Ba: 0.000 0.000 0.000
Au: 0.333 0.667 0.395
Ba: 0.000 0.000 0.729
Au: 0.667 0.333 0.605
Au: 0.667 0.333 0.134
Ag: 0.333 0.667 0.136
Mg: 0.333 0.667 0.562
Au: 0.333 0.667 0.866
Ag: 0.667 0.333 0.864